The following is a PBE-GGA calculation of a relaxed MnCrSeBr2 crystal, from Alexandria.

Summary:
**VASP energy**: -0.1854 Ha/atom
**ΔE_f (raw)**: 80.8 meV per atom
**Total magnetic moment**: 8.91 Bohr magnetons per cell
**Energy above the lowest structure with this stoichiometry**: 0.00 eV/f.u.
**Symmetry**: P4/mmm (123)

a = 4.991 Å, b = 4.991 Å, c = 5.151 Å
α = 90.00°, β = 90.00°, γ = 90.00°
Fractional coordinates of all 5 atoms:
Mn 0.000 0.000 0.000
Cr 0.500 0.500 0.500
Se 0.500 0.500 0.000
Br 0.000 0.500 0.500
Br 0.500 0.000 0.500